A relaxed structure of BaAgB. Source: the Open Quantum Materials Database, functional PBE-GGA.

a = 7.269 Å, b = 7.269 Å, c = 7.269 Å
α = 90.00°, β = 90.00°, γ = 90.00°
Sites, in units of the cell vectors:
Ba1 0.000 0.000 0.000
Ba2 0.000 0.500 0.500
Ba3 0.500 0.000 0.500
Ba4 0.500 0.500 0.000
Ag1 0.250 0.250 0.750
Ag2 0.250 0.750 0.250
Ag3 0.750 0.250 0.250
Ag4 0.750 0.750 0.750
B1 0.250 0.250 0.250
B2 0.250 0.750 0.750
B3 0.750 0.250 0.750
B4 0.750 0.750 0.250

Properties
Relative energy among the computed polymorphs ... 156 kJ/mol of formula units
Final energy ... -7.41 eV per formula unit

---

A relaxed structure of KLuInTe3. Source: the Open Quantum Materials Database, functional PBE-GGA.

a = 8.405 Å, b = 8.405 Å, c = 11.870 Å
α = 90.00°, β = 90.00°, γ = 148.44°
Sites, in units of the cell vectors:
K1 0.243 0.757 0.750
K2 0.757 0.243 0.250
Lu1 0.000 0.000 0.000
Lu2 0.000 0.000 0.500
In1 0.458 0.542 0.250
In2 0.542 0.458 0.750
Te1 0.073 0.927 0.250
Te2 0.372 0.628 0.030
Te3 0.372 0.628 0.470
Te4 0.628 0.372 0.530
Te5 0.628 0.372 0.970
Te6 0.927 0.073 0.750

Properties
Total moment ... 0.01 μB per formula unit
Final energy ... -22.85 eV per formula unit

---

A relaxed structure of DyTmTlC. Source: the Open Quantum Materials Database, functional PBE-GGA.

a = 3.585 Å, b = 3.585 Å, c = 16.175 Å
α = 90.00°, β = 90.00°, γ = 120.00°
Sites, in units of the cell vectors:
Dy1 0.333 0.667 0.000
Dy2 0.667 0.333 0.500
Tm1 0.333 0.667 0.334
Tm2 0.667 0.333 0.834
Tl1 0.333 0.667 0.669
Tl2 0.667 0.333 0.169
C1 0.000 0.000 0.416
C2 0.000 0.000 0.916

Properties
Total moment ... 0.09 μB per formula unit
Final energy ... -22.23 eV per formula unit

---

Which value of final energy does entry 3 give? -22.23 eV per formula unit